(1)
{
  "formula": "GaCuRe3",
  "functional": "GGA-PBE",
  "state": "optimized geometry",
  "volume_a3_per_atom": 17.68,
  "relative_energy_mev_per_atom": 0,
  "sg": "Pm-3m",
  "crystal_system": "cubic",
  "lattice": [[4.455, 0.000, 0.000], [0.000, 4.455, 0.000], [0.000, 0.000, 4.455]],
  "species": ["Re", "Re", "Re", "Cu", "Ga"],
  "fractional_positions": [[0.000, 0.500, 0.000], [0.000, 0.000, 0.500], [0.500, 0.000, 0.000], [0.000, 0.000, 0.000], [0.500, 0.500, 0.500]]
}

---

(2)
{
  "formula": "TcSbTe2C",
  "functional": "GGA-PBE",
  "state": "optimized geometry",
  "volume_a3_per_atom": 19.53,
  "e_form_raw_kj_per_mol_fu": 643,
  "relative_energy_mev_per_atom": 0,
  "sg": "P4/mmm",
  "crystal_system": "tetragonal",
  "lattice": [[-0.726, -3.331, -3.106], [4.174, -1.746, 0.897], [-1.815, -2.658, 3.275]],
  "species": ["Sb", "C", "Te", "Te", "Tc"],
  "fractional_positions": [[0.000, 0.000, 0.500], [0.000, 0.000, 0.000], [0.000, 0.500, 0.000], [0.500, 0.000, 0.000], [0.500, 0.500, 0.500]]
}

---

(3)
{
  "formula": "CsAg2HgIr",
  "functional": "GGA-PBE",
  "state": "optimized geometry",
  "volume_a3_per_atom": 51.87,
  "sg": "P4/mmm",
  "crystal_system": "tetragonal",
  "energy_ev_per_atom": -1.1824,
  "lattice": [[6.239, 0.000, 0.000], [0.000, 6.662, 0.000], [0.000, 0.000, 6.239]],
  "species": ["Cs", "Ir", "Hg", "Ag", "Ag"],
  "fractional_positions": [[0.000, 0.000, 0.000], [0.500, 0.500, 0.500], [0.000, 0.500, 0.000], [0.000, 0.000, 0.500], [0.500, 0.000, 0.000]]
}

---

(4)
{
  "formula": "Ca2PuThP4",
  "functional": "GGA-PBE",
  "state": "optimized geometry",
  "volume_a3_per_atom": 24.69,
  "sg": "P2/m",
  "crystal_system": "monoclinic",
  "energy_ev_per_atom": -7.1478,
  "lattice": [[4.142, 0.000, 0.000], [0.000, 7.139, 0.111], [0.000, -2.506, 6.641]],
  "species": ["Ca", "Ca", "Pu", "Th", "P", "P", "P", "P"],
  "fractional_positions": [[0.500, 0.000, 0.500], [0.000, 0.500, 0.500], [0.000, 0.000, 0.000], [0.500, 0.500, 0.000], [0.500, 0.234, 0.229], [0.500, 0.766, 0.771], [0.000, 0.248, 0.763], [0.000, 0.752, 0.237]]
}

---

(5)
{
  "formula": "CeCo5SiP2",
  "functional": "GGA-PBE",
  "state": "optimized geometry",
  "volume_a3_per_atom": 14.17,
  "e_form_raw_kj_per_mol_fu": -508,
  "sg": "P4/mmm",
  "crystal_system": "tetragonal",
  "lattice": [[-1.496, -3.384, 0.253], [2.038, -1.117, -2.891], [6.786, -2.569, 5.776]],
  "species": ["Ce", "Co", "Co", "Co", "Co", "Co", "Si", "P", "P"],
  "fractional_positions": [[0.000, 0.000, 0.500], [0.000, 0.500, 0.148], [0.500, 0.000, 0.148], [0.000, 0.500, 0.852], [0.500, 0.000, 0.852], [0.500, 0.500, 0.500], [0.000, 0.000, 0.000], [0.500, 0.500, 0.268], [0.500, 0.500, 0.732]]
}